# KScAs SCAN single point on PBEsol structure
# Calculated total energy = -14.87 eV/atom
data_KScAs
_chemical_formula_sum 'K1 Sc1 As1'
_space_group_name_H-M_alt 'P -6 m 2'
_space_group_IT_number 187
_space_group_name_Hall 'P -6 2'
_cell_length_a 4.5100
_cell_length_b 4.5100
_cell_length_c 5.4230
_cell_angle_alpha 90.00
_cell_angle_beta 90.00
_cell_angle_gamma 120.00
loop_
_atom_site_label
_atom_site_fract_x
_atom_site_fract_y
_atom_site_fract_z
K1 0.0000 0.0000 0.0000
Sc1 0.3333 0.6667 0.5000
As1 0.6667 0.3333 0.5000